1.
Below is a relaxed TaBi crystal, with properties calculated at the PBE-GGA level.

Lattice parameters (Å, degrees): 5.6245 4.6064 8.0622 90.00 90.00 90.00
Fractional positions:
Bi  0.7500  0.5000  0.1551
Bi  0.2500  0.0000  0.2452
Bi  0.7500  0.0000  0.7548
Bi  0.2500  0.5000  0.8449
Ta  0.7500  0.0000  0.3929
Ta  0.0000  0.5000  0.5000
Ta  0.5000  0.5000  0.5000
Ta  0.2500  0.0000  0.6071

Calculated total energy   -62.2 eV for the cell shown
Total magnetic moment   0.004 μB per formula unit
Symmetry   Pmma (51)
Crystal system   orthorhombic


2.
Below is a relaxed NaHoNO crystal, with properties calculated at the PBE-GGA level.

Lattice parameters (Å, degrees): 3.7315 3.7315 8.3107 90.00 90.00 90.00
Fractional positions:
Ho  0.2500  0.2500  0.1389
Ho  0.7500  0.7500  0.8611
N  0.7500  0.7500  0.3148
N  0.2500  0.2500  0.6852
Na  0.7500  0.2500  0.5000
Na  0.2500  0.7500  0.5000
O  0.7500  0.2500  0.0000
O  0.2500  0.7500  0.0000

Total magnetic moment   1.000 μB per formula unit
Relative energy among the computed polymorphs   0.289 eV/atom
Symmetry   P4/nmm (129)
Crystal system   tetragonal


3.
Below is a relaxed TlInCuAu crystal, with properties calculated at the PBE-GGA level.

Lattice parameters (Å, degrees): 4.9179 4.9179 4.9179 60.00 60.00 60.00
Fractional positions:
Au  0.7500  0.7500  0.7500
Cu  0.2500  0.2500  0.2500
In  0.0000  0.0000  0.0000
Tl  0.5000  0.5000  0.5000

Relative energy among the computed polymorphs   0.000 eV/atom
Symmetry   F-43m (216)
Crystal system   cubic


Please write out number 1 again, unchanged.
Below is a relaxed TaBi crystal, with properties calculated at the PBE-GGA level.

Lattice parameters (Å, degrees): 5.6245 4.6064 8.0622 90.00 90.00 90.00
Fractional positions:
Bi  0.7500  0.5000  0.1551
Bi  0.2500  0.0000  0.2452
Bi  0.7500  0.0000  0.7548
Bi  0.2500  0.5000  0.8449
Ta  0.7500  0.0000  0.3929
Ta  0.0000  0.5000  0.5000
Ta  0.5000  0.5000  0.5000
Ta  0.2500  0.0000  0.6071

Calculated total energy   -62.2 eV for the cell shown
Total magnetic moment   0.004 μB per formula unit
Symmetry   Pmma (51)
Crystal system   orthorhombic